1.
# Ba2Ti3O8 PBE relaxed
data_Ba2Ti3O8
_chemical_formula_sum 'Ba4 Ti6 O16'
_cell_length_a 12.5539
_cell_length_b 6.2631
_cell_length_c 5.2325
_cell_angle_alpha 90.00
_cell_angle_beta 109.84
_cell_angle_gamma 90.00
_symmetry_space_group_name_H-M 'C 1 2/m 1'
_symmetry_Int_Tables_number 12
_symmetry_space_group_name_Hall '-C 2y'
loop_
_atom_site_label
_atom_site_fract_x
_atom_site_fract_y
_atom_site_fract_z
Ba1 0.2221 0.0000 0.1740
Ti1 0.0000 0.2357 0.5000
Ti2 0.0000 0.5000 0.0000
O1 0.0885 0.2850 0.8797
O2 0.0903 0.5000 0.3947
O3 0.0972 0.0000 0.4805
# Formation energy without anion corrections in kcal/mol of atoms: -69.63
# Energy relative to the lowest polymorph listed for this composition in eV per atom: 0.000
# Energy in eV/cell: -212.9

---

2.
# BaTiO3 PBE relaxed
data_BaTiO3
_chemical_formula_sum 'Ba1 Ti1 O3'
_cell_length_a 4.5653
_cell_length_b 4.5653
_cell_length_c 4.5653
_cell_angle_alpha 90.00
_cell_angle_beta 90.00
_cell_angle_gamma 90.00
_symmetry_space_group_name_H-M 'P m -3 m'
_symmetry_Int_Tables_number 221
_symmetry_space_group_name_Hall '-P 4 2 3'
loop_
_atom_site_label
_atom_site_fract_x
_atom_site_fract_y
_atom_site_fract_z
Ba1 0.0000 0.0000 0.0000
Ti1 0.5000 0.5000 0.5000
O1 0.0000 0.0000 0.5000
# Formation energy without anion corrections in kcal/mol of atoms: 0.29
# Energy in eV/cell: -24.6